(1)
A plane-wave DFT calculation with PBE was carried out for Sr2As2Pd after structural relaxation.

Summary:
As for the space group: I4/mmm. Its formation enthalpy at 0 K is -2.708 eV per formula unit.

Unit cell a=3.910 b=3.910 c=9.230 alpha=77.77 beta=77.77 gamma=90.00
Positions (direct):
Sr (0.395, 0.395, 0.211)
Sr (0.605, 0.605, 0.789)
As (0.750, 0.250, 0.500)
As (0.250, 0.750, 0.500)
Pd (0.000, 0.000, 0.000)


(2)
A plane-wave DFT calculation with PBE was carried out for Sr8AsPd2 after structural relaxation.

Summary:
As for the space group: P-1. Its formation enthalpy at 0 K is -4.856 eV per formula unit.

Unit cell a=6.799 b=10.598 c=8.720 alpha=131.07 beta=90.94 gamma=82.93
Positions (direct):
Sr (0.314, 0.667, 0.250)
Sr (0.686, 0.333, 0.750)
Sr (0.803, 0.808, 0.101)
Sr (0.236, 0.141, 0.374)
Sr (0.268, 0.654, 0.731)
Sr (0.197, 0.192, 0.899)
Sr (0.764, 0.859, 0.626)
Sr (0.732, 0.346, 0.269)
As (0.000, 0.000, 0.000)
Pd (0.131, 0.453, 0.838)
Pd (0.869, 0.547, 0.162)


(3)
A plane-wave DFT calculation with PBE was carried out for Sr2As7Pd12 after structural relaxation.

Summary:
As for the space group: P-3. Its formation enthalpy at 0 K is -12.176 eV per formula unit.

Unit cell a=4.186 b=10.173 c=10.173 alpha=120.00 beta=90.00 gamma=90.00
Positions (direct):
Sr (0.246, 0.333, 0.667)
Sr (0.754, 0.667, 0.333)
As (0.500, 0.000, 0.000)
As (0.254, 0.887, 0.293)
As (0.254, 0.406, 0.113)
As (0.254, 0.707, 0.594)
As (0.746, 0.113, 0.707)
As (0.746, 0.594, 0.887)
As (0.746, 0.293, 0.406)
Pd (0.253, 0.621, 0.056)
Pd (0.253, 0.435, 0.379)
Pd (0.253, 0.944, 0.565)
Pd (0.747, 0.379, 0.944)
Pd (0.747, 0.565, 0.621)
Pd (0.747, 0.056, 0.435)
Pd (0.228, 0.110, 0.252)
Pd (0.228, 0.142, 0.889)
Pd (0.228, 0.748, 0.858)
Pd (0.772, 0.890, 0.748)
Pd (0.772, 0.858, 0.111)
Pd (0.772, 0.252, 0.142)


(4)
A plane-wave DFT calculation with PBE was carried out for Sr2As4Pd3 after structural relaxation.

Summary:
As for the space group: Fmmm. Its formation enthalpy at 0 K is -6.100 eV per formula unit.

Unit cell a=5.965 b=5.965 c=7.283 alpha=101.53 beta=101.53 gamma=120.80
Positions (direct):
Sr (0.646, 0.646, 0.292)
Sr (0.354, 0.354, 0.708)
As (0.022, 0.698, 0.720)
As (0.698, 0.022, 0.720)
As (0.978, 0.302, 0.280)
As (0.302, 0.978, 0.280)
Pd (0.500, 0.000, 0.000)
Pd (0.000, 0.000, 0.000)
Pd (0.000, 0.500, 0.000)


(5)
A plane-wave DFT calculation with PBE was carried out for SrAs3Pd after structural relaxation.

Summary:
As for the space group: Pm-3m. The calculation puts the relative energy among the computed polymorphs at 184 kJ/mol of formula units. Its formation enthalpy at 0 K is -0.781 eV per formula unit.

Unit cell a=5.002 b=5.002 c=5.002 alpha=90.00 beta=90.00 gamma=90.00
Positions (direct):
Sr (0.500, 0.500, 0.500)
As (0.000, 0.500, 0.000)
As (0.000, 0.000, 0.500)
As (0.500, 0.000, 0.000)
Pd (0.000, 0.000, 0.000)


(6)
A plane-wave DFT calculation with PBE was carried out for SrAs2Pd3 after structural relaxation.

Summary:
As for the space group: C2/m. The calculation puts the relative energy among the computed polymorphs at 0 kJ/mol of formula units. Its formation enthalpy at 0 K is -4.378 eV per formula unit.

Unit cell a=4.156 b=8.821 c=10.279 alpha=108.20 beta=90.00 gamma=103.63
Positions (direct):
Sr (0.152, 0.304, 0.696)
Sr (0.848, 0.696, 0.304)
Sr (0.000, 0.000, 0.000)
As (0.201, 0.402, 0.131)
As (0.799, 0.598, 0.869)
As (0.464, 0.927, 0.224)
As (0.536, 0.073, 0.776)
As (0.365, 0.730, 0.552)
As (0.635, 0.270, 0.448)
Pd (0.049, 0.098, 0.327)
Pd (0.951, 0.902, 0.673)
Pd (0.224, 0.447, 0.393)
Pd (0.776, 0.553, 0.607)
Pd (0.632, 0.264, 0.205)
Pd (0.368, 0.736, 0.795)
Pd (0.500, 0.000, 0.500)
Pd (0.319, 0.638, 0.034)
Pd (0.681, 0.362, 0.966)


(7)
A plane-wave DFT calculation with PBE was carried out for SrAs2Pd2 after structural relaxation.

Summary:
As for the space group: P4/mbm. Its formation enthalpy at 0 K is -2.089 eV per formula unit.

Unit cell a=7.840 b=7.840 c=3.193 alpha=90.00 beta=90.00 gamma=90.00
Positions (direct):
Sr (0.000, 0.000, 0.000)
Sr (0.500, 0.500, 0.000)
As (0.165, 0.665, 0.500)
As (0.665, 0.835, 0.500)
As (0.835, 0.335, 0.500)
As (0.335, 0.165, 0.500)
Pd (0.373, 0.873, 0.000)
Pd (0.873, 0.627, 0.000)
Pd (0.627, 0.127, 0.000)
Pd (0.127, 0.373, 0.000)


(8)
A plane-wave DFT calculation with PBE was carried out for SrAs2Pd2 after structural relaxation.

Summary:
As for the space group: Fmmm. Its formation enthalpy at 0 K is -3.870 eV per formula unit.

Unit cell a=4.460 b=4.460 c=10.798 alpha=101.90 beta=101.90 gamma=89.89
Positions (direct):
Sr (0.622, 0.622, 0.245)
Sr (0.378, 0.378, 0.755)
As (0.251, 0.749, 0.500)
As (0.931, 0.931, 0.863)
As (0.069, 0.069, 0.137)
As (0.749, 0.251, 0.500)
Pd (0.500, 0.000, 0.000)
Pd (0.191, 0.191, 0.381)
Pd (0.000, 0.500, 0.000)
Pd (0.809, 0.809, 0.619)


(9)
A plane-wave DFT calculation with PBE was carried out for SrTbAs2Pd4 after structural relaxation.

Summary:
As for the space group: P4/mmm. Its formation enthalpy at 0 K is -5.570 eV per formula unit.

Unit cell a=4.160 b=4.160 c=10.046 alpha=90.00 beta=90.00 gamma=90.00
Positions (direct):
Sr (0.000, 0.000, 0.500)
Tb (0.000, 0.000, 0.000)
As (0.500, 0.500, 0.339)
As (0.500, 0.500, 0.661)
Pd (0.000, 0.500, 0.204)
Pd (0.500, 0.000, 0.796)
Pd (0.500, 0.000, 0.204)
Pd (0.000, 0.500, 0.796)


(10)
A plane-wave DFT calculation with PBE was carried out for SrTbAs2Pd5 after structural relaxation.

Summary:
As for the space group: P4/mmm. Its formation enthalpy at 0 K is -6.086 eV per formula unit.

Unit cell a=4.376 b=4.376 c=8.990 alpha=90.00 beta=90.00 gamma=90.00
Positions (direct):
Sr (0.000, 0.000, 0.500)
Tb (0.000, 0.000, 0.000)
As (0.500, 0.500, 0.138)
As (0.500, 0.500, 0.862)
Pd (0.000, 0.500, 0.262)
Pd (0.500, 0.000, 0.262)
Pd (0.000, 0.500, 0.738)
Pd (0.500, 0.000, 0.738)
Pd (0.500, 0.500, 0.500)


(11)
A plane-wave DFT calculation with PBE was carried out for Sr2TbAs4Pd3 after structural relaxation.

Summary:
As for the space group: P-4m2. Its formation enthalpy at 0 K is -9.060 eV per formula unit.

Unit cell a=4.440 b=4.440 c=11.293 alpha=90.00 beta=90.00 gamma=90.00
Positions (direct):
Sr (0.500, 0.000, 0.229)
Sr (0.000, 0.500, 0.771)
Tb (0.500, 0.500, 0.500)
As (0.500, 0.500, 0.000)
As (0.000, 0.000, 0.000)
As (0.500, 0.000, 0.655)
As (0.000, 0.500, 0.345)
Pd (0.000, 0.000, 0.500)
Pd (0.500, 0.000, 0.885)
Pd (0.000, 0.500, 0.115)


(12)
A plane-wave DFT calculation with PBE was carried out for Sr2TcAsPd after structural relaxation.

Summary:
As for the space group: P4/mmm. Its formation enthalpy at 0 K is 2.047 eV per formula unit.

Unit cell a=5.949 b=5.949 c=4.631 alpha=90.00 beta=90.00 gamma=90.00
Positions (direct):
Sr (0.000, 0.500, 0.000)
Sr (0.500, 0.000, 0.000)
As (0.000, 0.000, 0.000)
Tc (0.500, 0.500, 0.500)
Pd (0.000, 0.000, 0.500)